No. 1
The following is a DFT calculation (GGA-PBE) of a geometry-optimized Tm2RuPb2 structure.

## Properties
**Formation energy**: -0.3244 eV per atom

Lattice parameters (Å, degrees): 3.415 3.415 21.886 90.00 90.00 90.00
Space group I4/mmm (No. 139)
One atom of each set of equivalent atoms:
Tm  0.000  0.000  0.074
Ru  0.000  0.000  0.500
Pb  0.000  0.000  0.311

=====

No. 2
The following is a DFT calculation (GGA-PBE) of a geometry-optimized Tb2SmErTm4 structure.

## Properties
**Formation energy**: 0.0233 eV per atom

Lattice parameters (Å, degrees): 4.986 4.986 9.953 90.00 90.00 90.00
Space group P4/mmm (No. 123)
One atom of each set of equivalent atoms:
Tb  0.000  0.000  0.000
Tb  0.500  0.500  0.500
Sm  0.000  0.000  0.500
Er  0.500  0.500  0.000
Tm  0.000  0.500  0.248

=====

No. 3
The following is a DFT calculation (GGA-PBE) of a geometry-optimized NaReBr6 structure.

## Properties
**Formation energy (no corrections)**: -0.5376 eV per atom

Lattice parameters (Å, degrees): 7.322 11.690 6.745 90.00 110.02 90.00
Space group C2/m (No. 12)
One atom of each set of equivalent atoms:
Na  0.000  0.000  0.000
Re  0.000  0.500  0.500
Br  0.205  0.346  0.731
Br  0.212  0.500  0.283

=====

No. 4
The following is a DFT calculation (GGA-PBE) of a geometry-optimized GeSbPd5 structure.

## Properties
**Formation energy (no corrections)**: -0.1503 eV per atom

Lattice parameters (Å, degrees): 10.104 8.315 7.803 90.00 125.88 90.00
Space group C2/c (No. 15)
One atom of each set of equivalent atoms:
Ge  0.250  0.250  0.000
Sb  0.000  0.226  0.250
Pd  0.000  0.089  0.750
Pd  0.128  0.497  0.484
Pd  0.214  0.178  0.656

=====

No. 5
The following is a DFT calculation (GGA-PBE) of a geometry-optimized AcHo4Se6 structure.

## Properties
**Formation energy (no corrections)**: -1.8545 eV per atom

Lattice parameters (Å, degrees): 4.110 13.352 20.844 90.00 90.00 90.00
Space group Cmcm (No. 63)
One atom of each set of equivalent atoms:
Ac  0.000  0.157  0.250
Ho  0.000  0.094  0.623
Ho  0.000  0.359  0.537
Se  0.000  0.000  0.000
Se  0.000  0.172  0.750
Se  0.000  0.265  0.091
Se  0.000  0.456  0.661

=====

No. 6
The following is a DFT calculation (GGA-PBE) of a geometry-optimized Li3NdPu2S6 structure.

## Properties
**Formation energy (no corrections)**: -1.6165 eV per atom

Lattice parameters (Å, degrees): 6.922 11.992 6.562 90.00 110.55 90.00
Space group C2/m (No. 12)
One atom of each set of equivalent atoms:
Li  0.000  0.000  0.000
Li  0.000  0.329  0.000
Nd  0.000  0.500  0.500
Pu  0.000  0.166  0.500
S  0.243  0.000  0.755
S  0.245  0.171  0.248

=====

No. 7
The following is a DFT calculation (GGA-PBE) of a geometry-optimized Li7B8C8 structure.

## Properties
**Energy relative to the lowest polymorph listed for this composition**: 3.1 meV per atom
**Formation energy**: -0.3094 eV per atom

Lattice parameters (Å, degrees): 9.475 5.469 8.578 90.00 123.51 90.00
Space group C2/m (No. 12)
One atom of each set of equivalent atoms:
Li  0.000  0.000  0.000
Li  0.000  0.250  0.500
Li  0.250  0.000  0.500
Li  0.250  0.250  0.000
B  0.042  0.252  0.249
B  0.206  0.500  0.745
B  0.210  0.000  0.751
C  0.040  0.500  0.745
C  0.043  0.000  0.753
C  0.211  0.250  0.255

=====

No. 8
The following is a DFT calculation (GGA-PBE) of a geometry-optimized DyPuIn2 structure.

## Properties
**Formation energy**: -0.3072 eV per atom

Lattice parameters (Å, degrees): 3.325 3.325 9.434 90.00 90.00 90.00
Space group P4/mmm (No. 123)
One atom of each set of equivalent atoms:
Dy  0.000  0.000  0.000
Pu  0.000  0.000  0.500
In  0.500  0.500  0.247

=====

No. 9
The following is a DFT calculation (GGA-PBE) of a geometry-optimized MnZnAg structure.

## Properties
**Energy relative to the lowest polymorph listed for this composition**: 0.0 meV per atom
**Formation energy**: 0.0371 eV per atom

Lattice parameters (Å, degrees): 2.831 2.831 10.621 90.00 90.00 90.00
Space group P4/nmm (No. 129, origin choice 2)
One atom of each set of equivalent atoms:
Mn  0.250  0.250  0.055
Zn  0.250  0.250  0.787
Ag  0.250  0.250  0.397

=====

No. 10
The following is a DFT calculation (GGA-PBE) of a geometry-optimized LaCr2Re structure.

## Properties
**Energy relative to the lowest polymorph listed for this composition**: 387.0 meV per atom
**Formation energy**: 0.7512 eV per atom

Lattice parameters (Å, degrees): 4.659 4.659 3.062 90.00 90.00 90.00
Space group P4/mmm (No. 123)
One atom of each set of equivalent atoms:
La  0.000  0.000  0.000
Cr  0.000  0.500  0.500
Re  0.500  0.500  0.000

=====

No. 11
The following is a DFT calculation (GGA-PBE) of a geometry-optimized KCuCl2 structure.

## Properties
**Formation energy (no corrections)**: -0.7575 eV per atom
**Energy relative to the lowest polymorph listed for this composition**: 445.2 meV per atom

Lattice parameters (Å, degrees): 7.062 7.062 7.062 90.00 90.00 90.00
Space group Fm-3m (No. 225)
One atom of each set of equivalent atoms:
K  0.000  0.000  0.000
Cu  0.000  0.000  0.500
Cl  0.250  0.250  0.250

=====

No. 12
The following is a DFT calculation (GGA-PBE) of a geometry-optimized AlCuAs2 structure.

## Properties
**Formation energy**: -0.0234 eV per atom

Lattice parameters (Å, degrees): 7.619 3.600 5.773 90.00 113.04 90.00
Space group Cm (No. 8)
One atom of each set of equivalent atoms:
Al  0.000  0.000  0.000
Cu  0.226  0.000  0.793
As  0.276  0.500  0.221
As  0.462  0.000  0.614

=====

> What is the formula in the sixth record?

Li3NdPu2S6